# 1
Crystalline Sc2CuSe at its relaxed geometry, computed with PBE.

The structure in CIF format:
```
data_Sc2CuSe
_chemical_formula_sum 'Sc2 Cu1 Se1'
_cell_length_a 3.824
_cell_length_b 3.824
_cell_length_c 5.478
_cell_angle_alpha 90.00
_cell_angle_beta 90.00
_cell_angle_gamma 90.00
_symmetry_space_group_name_H-M 'P 4/m m m'
_symmetry_Int_Tables_number 123
_symmetry_space_group_name_Hall '-P 4 2'
loop_
_atom_site_label
_atom_site_fract_x
_atom_site_fract_y
_atom_site_fract_z
Sc1 0.000 0.000 0.000
Sc2 0.500 0.500 0.500
Cu1 0.000 0.000 0.500
Se1 0.500 0.500 0.000
```

Fermi-level density of states = 3.4 states/eV/f.u.
E_form (uncorrected) = -0.780 eV per atom

# 2
Crystalline CeTc5Ge6 at its relaxed geometry, computed with PBE.

The structure in CIF format:
```
data_CeTc5Ge6
_chemical_formula_sum 'Ce2 Tc10 Ge12'
_cell_length_a 5.404
_cell_length_b 12.052
_cell_length_c 6.607
_cell_angle_alpha 90.00
_cell_angle_beta 111.36
_cell_angle_gamma 90.00
_symmetry_space_group_name_H-M 'C 1 2/m 1'
_symmetry_Int_Tables_number 12
_symmetry_space_group_name_Hall '-C 2y'
loop_
_atom_site_label
_atom_site_fract_x
_atom_site_fract_y
_atom_site_fract_z
Ce1 0.000 0.000 0.000
Tc1 0.000 0.000 0.500
Tc2 0.000 0.314 0.000
Tc3 0.000 0.378 0.500
Ge1 0.006 0.190 0.302
Ge2 0.063 0.500 0.211
```

Fermi-level density of states = 14.3 states/eV/f.u.
Energy of formation = -0.8 eV/f.u.

# 3
Crystalline Sr7In2Hg2 at its relaxed geometry, computed with PBE.

The structure in CIF format:
```
data_Sr7In2Hg2
_chemical_formula_sum 'Sr14 In4 Hg4'
_cell_length_a 8.751
_cell_length_b 12.670
_cell_length_c 8.294
_cell_angle_alpha 90.00
_cell_angle_beta 90.00
_cell_angle_gamma 90.00
_symmetry_space_group_name_H-M 'C m m m'
_symmetry_Int_Tables_number 65
_symmetry_space_group_name_Hall '-C 2 2'
loop_
_atom_site_label
_atom_site_fract_x
_atom_site_fract_y
_atom_site_fract_z
Sr1 0.000 0.000 0.000
Sr2 0.000 0.500 0.254
Sr3 0.250 0.250 0.274
In1 0.166 0.000 0.500
Hg1 0.000 0.294 0.000
```

Fermi-level density of states = 9.9 states/eV/f.u.
Energy of formation = -2.6 eV/f.u.

# 4
Crystalline NdMg3Ga2 at its relaxed geometry, computed with PBE.

The structure in CIF format:
```
data_NdMg3Ga2
_chemical_formula_sum 'Nd4 Mg12 Ga8'
_cell_length_a 16.645
_cell_length_b 4.515
_cell_length_c 8.485
_cell_angle_alpha 90.00
_cell_angle_beta 120.63
_cell_angle_gamma 90.00
_symmetry_space_group_name_H-M 'C 1 2/m 1'
_symmetry_Int_Tables_number 12
_symmetry_space_group_name_Hall '-C 2y'
loop_
_atom_site_label
_atom_site_fract_x
_atom_site_fract_y
_atom_site_fract_z
Nd1 0.131 0.000 0.131
Mg1 0.001 0.000 0.333
Mg2 0.165 0.500 0.858
Mg3 0.166 0.500 0.472
Ga1 0.000 0.500 0.148
Ga2 0.203 0.000 0.703
```

Fermi-level density of states = 1.5 states/eV/f.u.
Energy above the lowest structure with this stoichiometry = 0.0173 eV/atom
Energy of formation = -1.9 eV/f.u.

# 5
Crystalline CaLaAg4 at its relaxed geometry, computed with PBE.

The structure in CIF format:
```
data_CaLaAg4
_chemical_formula_sum 'Ca2 La2 Ag8'
_cell_length_a 8.793
_cell_length_b 8.203
_cell_length_c 4.821
_cell_angle_alpha 90.00
_cell_angle_beta 123.08
_cell_angle_gamma 90.00
_symmetry_space_group_name_H-M 'C 1 2 1'
_symmetry_Int_Tables_number 5
_symmetry_space_group_name_Hall 'C 2y'
loop_
_atom_site_label
_atom_site_fract_x
_atom_site_fract_y
_atom_site_fract_z
Ca1 0.000 0.000 0.000
La1 0.000 0.415 0.500
Ag1 0.201 0.623 0.201
Ag2 0.202 0.794 0.703
```

Fermi-level density of states = 3.8 states/eV/f.u.
Energy above the lowest structure with this stoichiometry = 0.0000 eV/atom
Energy of formation = -1.7 eV/f.u.

# 6
Crystalline EuZrGe2 at its relaxed geometry, computed with PBE.

The structure in CIF format:
```
data_EuZrGe2
_chemical_formula_sum 'Eu3 Zr3 Ge6'
_cell_length_a 4.0101
_cell_length_b 4.0101
_cell_length_c 21.0123
_cell_angle_alpha 90.00
_cell_angle_beta 90.00
_cell_angle_gamma 120.00
_symmetry_space_group_name_H-M 'R -3 m'
_symmetry_Int_Tables_number 166
_symmetry_space_group_name_Hall '-R 3 2"'
loop_
_atom_site_label
_atom_site_fract_x
_atom_site_fract_y
_atom_site_fract_z
Eu1 0.0000 0.0000 0.0000
Zr1 0.0000 0.0000 0.5000
Ge1 0.0000 0.0000 0.2385
```

Fermi-level density of states = 10.7 states/eV/f.u.
Energy of formation = -2.1 eV/f.u.

# 7
Crystalline BaZnHg3 at its relaxed geometry, computed with PBE.

The structure in CIF format:
```
data_BaZnHg3
_chemical_formula_sum 'Ba1 Zn1 Hg3'
_cell_length_a 6.788
_cell_length_b 6.788
_cell_length_c 6.788
_cell_angle_alpha 90.00
_cell_angle_beta 90.00
_cell_angle_gamma 90.00
_symmetry_space_group_name_H-M 'P m -3 m'
_symmetry_Int_Tables_number 221
_symmetry_space_group_name_Hall '-P 4 2 3'
loop_
_atom_site_label
_atom_site_fract_x
_atom_site_fract_y
_atom_site_fract_z
Ba1 0.000 0.000 0.000
Zn1 0.500 0.500 0.500
Hg1 0.000 0.000 0.500
```

Fermi-level density of states = 6.3 states/eV/f.u.
Energy above the lowest structure with this stoichiometry = 0.6510 eV/atom
Energy of formation = 1.7 eV/f.u.

# 8
Crystalline ZrAl4Cr at its relaxed geometry, computed with PBE.

The structure in CIF format:
```
data_ZrAl4Cr
_chemical_formula_sum 'Zr4 Al16 Cr4'
_cell_length_a 7.385
_cell_length_b 7.385
_cell_length_c 7.385
_cell_angle_alpha 90.00
_cell_angle_beta 90.00
_cell_angle_gamma 90.00
_symmetry_space_group_name_H-M 'F -4 3 m'
_symmetry_Int_Tables_number 216
_symmetry_space_group_name_Hall 'F -4 2 3'
loop_
_atom_site_label
_atom_site_fract_x
_atom_site_fract_y
_atom_site_fract_z
Zr1 0.000 0.000 0.000
Al1 0.125 0.125 0.625
Cr1 0.250 0.250 0.250
```

Fermi-level density of states = 3.6 states/eV/f.u.
Energy of formation = -0.7 eV/f.u.